Compound: ZnPbSe2
Source: Alexandria
Functional: PBEsol
Structure: relaxed

```
data_ZnPbSe2
_space_group_name_H-M_alt 'I -4 m 2'
_space_group_IT_number 119
_space_group_name_Hall 'I -4 -2'
_cell_length_a 4.019
_cell_length_b 4.019
_cell_length_c 11.470
_cell_angle_alpha 90.00
_cell_angle_beta 90.00
_cell_angle_gamma 90.00
loop_
_atom_site_label
_atom_site_type_symbol
_atom_site_fract_x
_atom_site_fract_y
_atom_site_fract_z
Zn1 Zn 0.000 0.000 0.000
Pb1 Pb 0.000 0.500 0.250
Se1 Se 0.000 0.000 0.500
Se2 Se 0.000 0.500 0.750
```

Output
Total magnetic moment ... 0.00 μB/cell
Mass density ... 7.717 Mg/m³
Formation energy from raw total energies ... -0.014 eV/atom
E ... -0.245 Ry/atom